Arrangement i

Density functional theory data (GGA-PBE) for an optimized crystal structure of Al2AgCl2.

abc: 7.254 7.254 4.714
angles: 90.00 90.00 90.00
Fractional positions:
Al1 0.232 0.732 0.000
Al2 0.732 0.768 0.000
Al3 0.768 0.268 0.000
Al4 0.268 0.232 0.000
Ag1 0.000 0.000 0.000
Ag2 0.500 0.500 0.000
Cl1 0.167 0.667 0.500
Cl2 0.667 0.833 0.500
Cl3 0.833 0.333 0.500
Cl4 0.333 0.167 0.500

**Total magnetization**: 0.0 μB/cell
**Symmetry**: P4/mbm



Arrangement ii

Density functional theory data (GGA-PBE) for an optimized crystal structure of Al2AgCl2.

abc: 4.246 4.246 6.637
angles: 71.34 71.34 90.00
Fractional positions:
Al1 0.388 0.388 0.223
Al2 0.612 0.612 0.777
Ag1 0.000 0.000 0.000
Cl1 0.750 0.250 0.500
Cl2 0.250 0.750 0.500

**Total magnetization**: 0.0 μB/cell
**Symmetry**: I4/mmm



Tell me which of them is the least stable. Sure, it is arrangement ii.



Arrangement i

Density functional theory data (GGA-PBE) for an optimized crystal structure of AlAgCl4.

abc: 6.073 6.073 10.386
angles: 90.00 90.00 90.00
Fractional positions:
Al1 0.000 0.500 0.250
Al2 0.500 0.000 0.750
Ag1 0.000 0.000 0.000
Ag2 0.000 0.000 0.500
Cl1 0.298 0.215 0.867
Cl2 0.702 0.785 0.867
Cl3 0.215 0.298 0.367
Cl4 0.298 0.785 0.633
Cl5 0.702 0.215 0.633
Cl6 0.215 0.702 0.133
Cl7 0.785 0.298 0.133
Cl8 0.785 0.702 0.367

**Total magnetization**: 0.0 μB/cell
**Symmetry**: P-42c



Arrangement ii

Density functional theory data (GGA-PBE) for an optimized crystal structure of AlAgCl4.

abc: 6.589 6.585 10.748
angles: 90.00 90.00 90.00
Fractional positions:
Al1 0.000 0.500 0.000
Al2 0.000 0.000 0.500
Ag1 0.000 0.000 0.000
Ag2 0.500 0.000 0.500
Cl1 0.190 0.304 0.113
Cl2 0.190 0.696 0.887
Cl3 0.810 0.304 0.887
Cl4 0.810 0.696 0.113
Cl5 0.803 0.813 0.614
Cl6 0.803 0.187 0.386
Cl7 0.197 0.813 0.386
Cl8 0.197 0.187 0.614

**Total magnetization**: 0.0 μB/cell
**Symmetry**: P222



Tell me which of them is the least stable. Sure, it is arrangement ii.



Arrangement i

Density functional theory data (GGA-PBE) for an optimized crystal structure of AlAgCl.

abc: 4.839 4.839 2.928
angles: 90.00 90.00 120.00
Fractional positions:
Al1 0.667 0.333 0.500
Ag1 0.000 0.000 0.002
Cl1 0.333 0.667 0.498

**Total magnetization**: 0.0 μB/cell
**Symmetry**: P3m1



Arrangement ii

Density functional theory data (GGA-PBE) for an optimized crystal structure of AlAgCl.

abc: 4.702 4.702 4.702
angles: 60.00 60.00 60.00
Fractional positions:
Al1 0.750 0.750 0.750
Ag1 0.500 0.500 0.500
Cl1 0.000 0.000 0.000

**Total magnetization**: 0.0 μB/cell
**Symmetry**: F-43m



Tell me which of them is the least stable. Sure, it is arrangement ii.



Arrangement i

Density functional theory data (GGA-PBE) for an optimized crystal structure of AlAgCl.

abc: 3.373 3.373 6.482
angles: 90.00 90.00 120.00
Fractional positions:
Al1 0.667 0.333 0.334
Ag1 0.000 0.000 0.071
Cl1 0.333 0.667 0.595

**Total magnetization**: 0.0 μB/cell
**Symmetry**: P3m1



Arrangement ii

Density functional theory data (GGA-PBE) for an optimized crystal structure of AlAgCl.

abc: 6.364 4.353 8.978
angles: 90.00 90.00 136.97
Fractional positions:
Ag1 0.591 0.183 0.000
Ag2 0.467 0.933 0.500
Al1 0.712 0.424 0.270
Al2 0.712 0.424 0.730
Cl1 0.092 0.184 0.708
Cl2 0.092 0.184 0.292

**Total magnetization**: 0.0 μB/cell
**Symmetry**: Amm2



Arrangement iii

Density functional theory data (GGA-PBE) for an optimized crystal structure of AlAgCl.

abc: 6.165 6.165 6.165
angles: 149.80 149.80 43.23
Fractional positions:
Al1 0.342 0.342 0.000
Ag1 0.974 0.974 0.000
Cl1 0.684 0.684 0.000

**Total magnetization**: 0.0 μB/cell
**Symmetry**: I4mm



Arrangement iv

Density functional theory data (GGA-PBE) for an optimized crystal structure of AlAgCl.

abc: 7.975 7.632 3.227
angles: 84.11 72.16 23.74
Fractional positions:
Al1 0.327 0.327 0.673
Ag1 0.966 0.966 0.034
Cl1 0.707 0.707 0.293

**Total magnetization**: 0.0 μB/cell
**Symmetry**: Fmm2



Tell me which of them is the least stable. Sure, it is arrangement iii.



Arrangement i

Density functional theory data (GGA-PBE) for an optimized crystal structure of AlAg2Cl5.

abc: 8.908 10.132 13.664
angles: 65.76 70.98 63.92
Fractional positions:
Al1 0.954 0.026 0.308
Al2 0.288 0.474 0.192
Al3 0.712 0.526 0.808
Al4 0.046 0.974 0.692
Ag1 0.352 0.094 0.721
Ag2 0.658 0.105 0.914
Ag3 0.677 0.395 0.586
Ag4 0.834 0.594 0.221
Ag5 0.166 0.406 0.779
Ag6 0.323 0.605 0.414
Ag7 0.342 0.895 0.086
Ag8 0.648 0.906 0.279
Cl1 0.016 0.979 0.154
Cl2 0.236 0.075 0.584
Cl3 0.819 0.088 0.620
Cl4 0.405 0.231 0.218
Cl5 0.854 0.269 0.282
Cl6 0.373 0.110 0.893
Cl7 0.376 0.390 0.607
Cl8 0.149 0.521 0.346
Cl9 0.105 0.575 0.084
Cl10 0.528 0.412 0.880
Cl11 0.472 0.588 0.120
Cl12 0.895 0.425 0.916
Cl13 0.851 0.479 0.654
Cl14 0.624 0.610 0.393
Cl15 0.627 0.890 0.107
Cl16 0.146 0.731 0.718
Cl17 0.595 0.769 0.782
Cl18 0.181 0.912 0.380
Cl19 0.764 0.925 0.416
Cl20 0.984 0.021 0.846

**Total magnetization**: 0.0 μB/cell
**Symmetry**: C2/c



Arrangement ii

Density functional theory data (GGA-PBE) for an optimized crystal structure of AlAg2Cl5.

abc: 4.907 7.133 12.627
angles: 90.00 90.00 110.12
Fractional positions:
Al1 0.817 0.633 0.750
Al2 0.183 0.367 0.250
Ag1 0.858 0.716 0.430
Ag2 0.858 0.716 0.070
Ag3 0.142 0.284 0.570
Ag4 0.142 0.284 0.930
Cl1 0.936 0.871 0.878
Cl2 0.936 0.871 0.622
Cl3 0.310 0.619 0.381
Cl4 0.310 0.619 0.119
Cl5 0.698 0.397 0.250
Cl6 0.302 0.603 0.750
Cl7 0.690 0.381 0.619
Cl8 0.690 0.381 0.881
Cl9 0.064 0.129 0.122
Cl10 0.064 0.129 0.378

**Total magnetization**: 0.0 μB/cell
**Symmetry**: Cmcm



Tell me which of them is the least stable. Sure, it is arrangement ii.



Arrangement i

Density functional theory data (GGA-PBE) for an optimized crystal structure of K2AlAgCl6.

abc: 7.170 7.170 7.170
angles: 60.00 60.00 60.00
Fractional positions:
K1 0.750 0.750 0.750
K2 0.250 0.250 0.250
Al1 0.000 0.000 0.000
Ag1 0.500 0.500 0.500
Cl1 0.768 0.232 0.232
Cl2 0.232 0.232 0.768
Cl3 0.232 0.768 0.768
Cl4 0.232 0.768 0.232
Cl5 0.768 0.232 0.768
Cl6 0.768 0.768 0.232

**Total magnetization**: 0.0 μB/cell
**Symmetry**: Fm-3m



Arrangement ii

Density functional theory data (GGA-PBE) for an optimized crystal structure of K2AlAgCl6.

abc: 6.768 7.017 7.017
angles: 120.00 90.00 90.00
Fractional positions:
K1 0.167 0.333 0.667
K2 0.833 0.667 0.333
Al1 0.000 0.000 0.000
Ag1 0.500 0.000 0.000
Cl1 0.797 0.157 0.315
Cl2 0.797 0.157 0.843
Cl3 0.797 0.685 0.843
Cl4 0.203 0.843 0.157
Cl5 0.203 0.315 0.157
Cl6 0.203 0.843 0.685

**Total magnetization**: 0.0 μB/cell
**Symmetry**: P-3m1



Tell me which of them is the least stable. Sure, it is arrangement i.



Arrangement i

Density functional theory data (GGA-PBE) for an optimized crystal structure of Al2CoAg.

abc: 6.824 6.824 5.544
angles: 52.02 52.02 90.00
Fractional positions:
Co1 0.500 0.500 0.000
Co2 0.250 0.750 0.500
Al1 0.587 0.125 0.250
Al2 0.163 0.625 0.250
Al3 0.375 0.413 0.750
Al4 0.875 0.837 0.750
Ag1 0.000 0.000 0.000
Ag2 0.750 0.250 0.500

**Total magnetization**: 0.0 μB/cell
**Symmetry**: I-42d



Arrangement ii

Density functional theory data (GGA-PBE) for an optimized crystal structure of Al2CoAg.

abc: 5.176 5.176 5.176
angles: 145.52 132.52 59.99
Each line ends with the local moment (μB).
Fractional positions:
Co1 0.515 0.515 0.000  0.65
Al1 0.999 0.999 0.000  0.00
Al2 0.724 0.224 0.500  0.00
Ag1 0.262 0.762 0.500  -0.01

**Total magnetization**: 0.6 μB/cell
**Symmetry**: Imm2



Tell me which of them is the least stable. Sure, it is arrangement i.



Arrangement i

Density functional theory data (GGA-PBE) for an optimized crystal structure of AlCo2Ag2.

abc: 6.613 6.613 6.613
angles: 147.70 147.70 46.32
Each line ends with the local moment (μB).
Fractional positions:
Al1 0.000 0.000 0.000  -0.02
Co1 0.587 0.587 0.000  1.60
Co2 0.413 0.413 0.000  1.60
Ag1 0.250 0.750 0.500  0.03
Ag2 0.750 0.250 0.500  0.03

**Total magnetization**: 3.1 μB/cell
**Symmetry**: I4/mmm



Arrangement ii

Density functional theory data (GGA-PBE) for an optimized crystal structure of AlCo2Ag2.

abc: 7.708 7.708 7.708
angles: 155.49 155.49 34.94
Each line ends with the local moment (μB).
Fractional positions:
Al1 0.000 0.000 0.000  0.01
Co1 0.250 0.750 0.500  1.80
Co2 0.750 0.250 0.500  1.80
Ag1 0.600 0.600 0.000  0.01
Ag2 0.400 0.400 0.000  0.01

**Total magnetization**: 3.6 μB/cell
**Symmetry**: I4/mmm



Tell me which of them is the least stable. Sure, it is arrangement i.



Arrangement i

Density functional theory data (GGA-PBE) for an optimized crystal structure of AlCoAg.

abc: 4.236 4.236 2.766
angles: 90.00 90.00 120.00
Each line ends with the local moment (μB).
Fractional positions:
Co1 0.333 0.667 0.588  1.04
Al1 0.667 0.333 0.386  -0.02
Ag1 0.000 0.000 0.026  -0.01

**Total magnetization**: 0.9 μB/cell
**Symmetry**: P3m1



Arrangement ii

Density functional theory data (GGA-PBE) for an optimized crystal structure of AlCoAg.

abc: 5.320 5.320 2.932
angles: 74.00 74.01 31.99
Fractional positions:
Co1 0.312 0.312 0.688
Al1 0.690 0.690 0.310
Ag1 0.998 0.998 0.002

**Total magnetization**: 0.0 μB/cell
**Symmetry**: I4mm



Arrangement iii

Density functional theory data (GGA-PBE) for an optimized crystal structure of AlCoAg.

abc: 4.083 4.083 4.083
angles: 60.00 60.00 60.00
Fractional positions:
Co1 0.000 0.000 0.000
Al1 0.750 0.750 0.750
Ag1 0.500 0.500 0.500

**Total magnetization**: 0.0 μB/cell
**Symmetry**: F-43m



Tell me which of them is the least stable. Sure, it is arrangement iii.



Arrangement i

Density functional theory data (GGA-PBE) for an optimized crystal structure of Al2CoAg2.

abc: 7.059 7.059 7.059
angles: 150.08 150.08 42.83
Each line ends with the local moment (μB).
Fractional positions:
Al1 0.595 0.595 0.000  0.00
Al2 0.405 0.405 0.000  0.00
Co1 0.000 0.000 0.000  1.35
Ag1 0.250 0.750 0.500  0.00
Ag2 0.750 0.250 0.500  0.00

**Total magnetization**: 1.3 μB/cell
**Symmetry**: I4/mmm



Arrangement ii

Density functional theory data (GGA-PBE) for an optimized crystal structure of Al2CoAg2.

abc: 6.858 6.858 6.858
angles: 148.47 148.47 45.19
Each line ends with the local moment (μB).
Fractional positions:
Al1 0.250 0.750 0.500  0.00
Al2 0.750 0.250 0.500  0.00
Co1 0.000 0.000 0.000  1.84
Ag1 0.604 0.604 0.000  -0.02
Ag2 0.396 0.396 0.000  -0.02

**Total magnetization**: 1.7 μB/cell
**Symmetry**: I4/mmm



Arrangement iii

Density functional theory data (GGA-PBE) for an optimized crystal structure of Al2CoAg2.

abc: 6.243 6.243 4.108
angles: 90.00 90.00 90.00
Each line ends with the local moment (μB).
Fractional positions:
Co1 0.000 0.000 0.000  0.49
Co2 0.500 0.500 0.000  0.47
Al1 0.346 0.846 0.000  0.00
Al2 0.846 0.654 0.000  0.00
Al3 0.654 0.154 0.000  0.00
Al4 0.154 0.346 0.000  0.00
Ag1 0.163 0.663 0.500  0.00
Ag2 0.663 0.837 0.500  0.00
Ag3 0.837 0.337 0.500  0.00
Ag4 0.337 0.163 0.500  0.00

**Total magnetization**: 0.9 μB/cell
**Symmetry**: P4/mbm



Tell me which of them is the least stable. Sure, it is arrangement ii.